{"formula": "Nd3Ho4Sn4", "functional": "PBE", "state": "relaxed", "density_g_cm3": 7.8, "energy_ev_per_atom": -4.8329, "ef_mev_per_atom": -412, "n_ef_per_ev_atom": 1.230, "lattice": [[5.032, 0.000, 0.000], [0.000, 3.951, 0.000], [-2.516, -1.976, 16.795]], "species": ["Sn", "Sn", "Ho", "Ho", "Sn", "Sn", "Nd", "Nd", "Ho", "Ho", "Nd"], "fractional_positions": [[0.815, 0.315, 0.631], [0.546, 0.546, 0.091], [0.262, 0.262, 0.524], [0.906, 0.406, 0.812], [0.185, 0.685, 0.369], [0.454, 0.454, 0.909], [0.354, 0.854, 0.707], [0.000, 0.000, 0.000], [0.094, 0.594, 0.188], [0.738, 0.738, 0.476], [0.646, 0.146, 0.293]]}

***

{"formula": "ReH2Ru", "functional": "PBE", "state": "relaxed", "polymorph_energy_kj_per_mol_fu": 270.7, "density_g_cm3": 13.2, "energy_ev_per_atom": -6.1069, "n_ef_per_ev_atom": 1.329, "lattice": [[0.000, 2.627, 2.627], [2.627, 0.000, 2.627], [2.627, 2.627, 0.000]], "species": ["Re", "H", "H", "Ru"], "fractional_positions": [[0.500, 0.500, 0.500], [0.750, 0.750, 0.750], [0.250, 0.250, 0.250], [0.000, 0.000, 0.000]]}

***

{"formula": "Sr2LiGe3Au12", "functional": "PBE", "state": "relaxed", "density_g_cm3": 10.6, "energy_ev_per_atom": -3.3856, "ef_mev_per_atom": -138, "n_ef_per_ev_atom": 0.264, "lattice": [[7.706, -0.999, -0.709], [2.937, 7.194, -0.709], [2.937, 1.710, 7.024]], "species": ["Au", "Ge", "Ge", "Au", "Sr", "Au", "Li", "Sr", "Au", "Au", "Au", "Au", "Au", "Ge", "Au", "Au", "Au", "Au"], "fractional_positions": [[0.342, 0.853, 0.853], [0.000, 0.500, 0.000], [0.000, 0.000, 0.500], [0.682, 0.682, 0.158], [0.386, 0.386, 0.386], [0.682, 0.158, 0.682], [0.000, 0.000, 0.000], [0.614, 0.614, 0.614], [0.853, 0.853, 0.342], [0.842, 0.318, 0.318], [0.658, 0.147, 0.147], [0.318, 0.842, 0.318], [0.147, 0.147, 0.658], [0.500, 0.000, 0.000], [0.853, 0.342, 0.853], [0.147, 0.658, 0.147], [0.318, 0.318, 0.842], [0.158, 0.682, 0.682]]}

***

{"formula": "CoTcCl2", "functional": "PBE", "state": "relaxed", "polymorph_energy_kj_per_mol_fu": 239.5, "density_g_cm3": 5.6, "energy_ev_per_atom": -4.6880, "raw_formation_energy_mev_per_atom": 603, "n_ef_per_ev_atom": 1.435, "lattice": [[5.527, -0.058, -0.146], [-2.975, 4.305, 0.037], [-0.423, 1.126, 2.856]], "species": ["Cl", "Tc", "Cl", "Co"], "fractional_positions": [[0.000, 0.000, 0.000], [0.500, 0.500, 0.000], [0.500, 0.000, 0.500], [0.000, 0.500, 0.500]]}

***

{"formula": "MnBeCoRh", "functional": "PBE", "state": "relaxed", "density_g_cm3": 8.3, "energy_ev_per_atom": -7.0308, "ef_mev_per_atom": -193, "n_ef_per_ev_atom": 1.250, "lattice": [[3.997, 0.000, 0.000], [1.998, 3.461, 0.000], [1.998, 1.154, 3.263]], "species": ["Rh", "Co", "Mn", "Be"], "fractional_positions": [[0.000, 0.000, 0.000], [0.500, 0.500, 0.500], [0.750, 0.750, 0.750], [0.250, 0.250, 0.250]]}

***

{"formula": "Pr3MnRh8", "functional": "PBE", "state": "relaxed", "density_g_cm3": 9.9, "energy_ev_per_atom": -7.3054, "ef_mev_per_atom": -445, "n_ef_per_ev_atom": 0.786, "lattice": [[-3.967, -0.369, 3.599], [1.047, 0.650, 5.225], [-2.476, 8.714, 2.170]], "species": ["Rh", "Rh", "Rh", "Rh", "Pr", "Mn", "Rh", "Rh", "Rh", "Pr", "Pr", "Rh"], "fractional_positions": [[0.061, 0.558, 0.320], [0.558, 0.061, 0.320], [0.061, 0.061, 0.320], [0.312, 0.312, 0.065], [0.624, 0.624, 0.128], [0.131, 0.131, 0.608], [0.564, 0.564, 0.809], [0.564, 0.063, 0.809], [0.812, 0.812, 0.565], [0.006, 0.006, 0.982], [0.496, 0.496, 0.513], [0.063, 0.564, 0.809]]}

***

{"formula": "Li2CdGe", "functional": "PBE", "state": "relaxed", "density_g_cm3": 4.9, "energy_ev_per_atom": -2.5978, "ef_mev_per_atom": -258, "n_ef_per_ev_atom": 0.334, "lattice": [[0.440, -2.980, 3.416], [-3.534, -2.598, 1.225], [0.050, -4.470, -0.870]], "species": ["Li", "Cd", "Ge", "Li"], "fractional_positions": [[0.750, 0.750, 0.750], [0.500, 0.500, 0.500], [0.000, 0.000, 0.000], [0.250, 0.250, 0.250]]}

***

{"formula": "Cs2RbMnAs2", "functional": "PBE", "state": "relaxed", "density_g_cm3": 4.0, "energy_ev_per_atom": -3.8204, "ef_mev_per_atom": -296, "n_ef_per_ev_atom": 0.288, "lattice": [[-3.254, 6.109, 0.450], [-7.450, -3.911, -0.789], [4.942, -1.894, 7.982]], "species": ["Rb", "Cs", "As", "As", "Cs", "Rb", "Mn", "As", "As", "Cs", "Mn", "Cs"], "fractional_positions": [[0.750, 0.000, 0.000], [0.821, 0.528, 0.642], [0.575, 0.407, 0.151], [0.075, 0.744, 0.151], [0.679, 0.886, 0.358], [0.250, 0.000, 0.000], [0.750, 0.500, 0.000], [0.925, 0.256, 0.849], [0.425, 0.593, 0.849], [0.179, 0.472, 0.358], [0.250, 0.500, 0.000], [0.321, 0.114, 0.642]]}